No. 1
# PBE CdSn, relaxed
# * Fermi-level density of states: 0.49 states/eV per atom
# * calculated formation energy: 0.1 eV/f.u.
data_CdSn
_space_group_name_H-M_alt 'I 4/m'
_space_group_IT_number 87
_space_group_name_Hall '-I 4'
_cell_length_a 11.7073
_cell_length_b 11.7073
_cell_length_c 3.0479
_cell_angle_alpha 90.00
_cell_angle_beta 90.00
_cell_angle_gamma 90.00
loop_
_atom_site_label
_atom_site_type_symbol
_atom_site_fract_x
_atom_site_fract_y
_atom_site_fract_z
Cd1 Cd 0.1005 0.6355 0.0000
Sn1 Sn 0.1011 0.1587 0.0000

=====

No. 2
# PBE TeCl2O, relaxed
# * Fermi-level density of states: 0.16 states/eV per atom
# * ΔE to the lowest computed polymorph: 1.2652 eV/atom
# * ΔE_f (raw): 617 meV/atom
data_TeCl2O
_space_group_name_H-M_alt 'F m -3 m'
_space_group_IT_number 225
_space_group_name_Hall '-F 4 2 3'
_cell_length_a 6.5187
_cell_length_b 6.5187
_cell_length_c 6.5187
_cell_angle_alpha 90.00
_cell_angle_beta 90.00
_cell_angle_gamma 90.00
loop_
_atom_site_label
_atom_site_type_symbol
_atom_site_fract_x
_atom_site_fract_y
_atom_site_fract_z
Te1 Te 0.0000 0.0000 0.0000
Cl1 Cl 0.2500 0.2500 0.2500
O1 O 0.0000 0.0000 0.5000

=====

No. 3
# PBE ZnFe2, relaxed
# * Fermi-level density of states: 0.91 states/eV per atom
# * calculated formation energy: 0.3 eV/f.u.
data_ZnFe2
_space_group_name_H-M_alt 'P -3 m 1'
_space_group_IT_number 164
_space_group_name_Hall '-P 3 2"'
_cell_length_a 2.5840
_cell_length_b 2.5840
_cell_length_c 6.4870
_cell_angle_alpha 90.00
_cell_angle_beta 90.00
_cell_angle_gamma 120.00
loop_
_atom_site_label
_atom_site_type_symbol
_atom_site_fract_x
_atom_site_fract_y
_atom_site_fract_z
Zn1 Zn 0.0000 0.0000 0.0000
Fe1 Fe 0.3333 0.6667 0.6641

=====

No. 4
# PBE AlCrSn3, relaxed
# * Fermi-level density of states: 1.66 states/eV per atom
# * calculated formation energy: 6.3 eV/f.u.
# * ΔE to the lowest computed polymorph: 0.8432 eV/atom
data_AlCrSn3
_space_group_name_H-M_alt 'P m -3 m'
_space_group_IT_number 221
_space_group_name_Hall '-P 4 2 3'
_cell_length_a 5.1917
_cell_length_b 5.1917
_cell_length_c 5.1917
_cell_angle_alpha 90.00
_cell_angle_beta 90.00
_cell_angle_gamma 90.00
loop_
_atom_site_label
_atom_site_type_symbol
_atom_site_fract_x
_atom_site_fract_y
_atom_site_fract_z
Al1 Al 0.0000 0.0000 0.0000
Cr1 Cr 0.5000 0.5000 0.5000
Sn1 Sn 0.0000 0.0000 0.5000

=====

No. 5
# PBE SbPd6Au3, relaxed
# * Fermi-level density of states: 0.45 states/eV per atom
# * ΔE to the lowest computed polymorph: 0.0000 eV/atom
# * ΔE_f (raw): -213 meV/atom
data_SbPd6Au3
_space_group_name_H-M_alt 'P 1 21/m 1'
_space_group_IT_number 11
_space_group_name_Hall '-P 2yb'
_cell_length_a 8.7762
_cell_length_b 4.1553
_cell_length_c 9.2264
_cell_angle_alpha 90.00
_cell_angle_beta 94.73
_cell_angle_gamma 90.00
loop_
_atom_site_label
_atom_site_type_symbol
_atom_site_fract_x
_atom_site_fract_y
_atom_site_fract_z
Sb1 Sb 0.0753 0.2500 0.3666
Pd1 Pd 0.0475 0.7500 0.9027
Pd2 Pd 0.1291 0.2500 0.6819
Pd3 Pd 0.1610 0.7500 0.1910
Pd4 Pd 0.2365 0.7500 0.4982
Pd5 Pd 0.3603 0.2500 0.2976
Pd6 Pd 0.4543 0.7500 0.0993
Au1 Au 0.2501 0.2500 0.9967
Au2 Au 0.3416 0.7500 0.7987
Au3 Au 0.4462 0.2500 0.5995

=====

No. 6
# PBE ErPaPtRh, relaxed
# * Fermi-level density of states: 1.52 states/eV per atom
# * calculated formation energy: -3.3 eV/f.u.
# * ΔE to the lowest computed polymorph: 0.2047 eV/atom
data_ErPaPtRh
_space_group_name_H-M_alt 'F -4 3 m'
_space_group_IT_number 216
_space_group_name_Hall 'F -4 2 3'
_cell_length_a 6.9342
_cell_length_b 6.9342
_cell_length_c 6.9342
_cell_angle_alpha 90.00
_cell_angle_beta 90.00
_cell_angle_gamma 90.00
loop_
_atom_site_label
_atom_site_type_symbol
_atom_site_fract_x
_atom_site_fract_y
_atom_site_fract_z
Er1 Er 0.0000 0.0000 0.0000
Pa1 Pa 0.0000 0.0000 0.5000
Pt1 Pt 0.2500 0.2500 0.2500
Rh1 Rh 0.2500 0.2500 0.7500

=====

No. 7
# PBE Si5Se, relaxed
# * Fermi-level density of states: 0.36 states/eV per atom
# * ΔE to the lowest computed polymorph: 0.1133 eV/atom
# * ΔE_f (raw): 408 meV/atom
data_Si5Se
_space_group_name_H-M_alt 'A m m 2'
_space_group_IT_number 38
_space_group_name_Hall 'A 2 -2'
_cell_length_a 3.5181
_cell_length_b 3.2931
_cell_length_c 17.9610
_cell_angle_alpha 90.00
_cell_angle_beta 90.00
_cell_angle_gamma 90.00
loop_
_atom_site_label
_atom_site_type_symbol
_atom_site_fract_x
_atom_site_fract_y
_atom_site_fract_z
Si1 Si 0.0000 0.0000 0.0000
Si2 Si 0.0000 0.0000 0.2480
Si3 Si 0.0000 0.0000 0.6366
Si4 Si 0.5000 0.0000 0.0954
Si5 Si 0.5000 0.0000 0.8027
Se1 Se 0.5000 0.0000 0.4088

=====

No. 8
# PBE Zr7Tl3Pb, relaxed
# * Fermi-level density of states: 1.10 states/eV per atom
# * calculated formation energy: 2.2 eV/f.u.
data_Zr7Tl3Pb
_space_group_name_H-M_alt 'I m m m'
_space_group_IT_number 71
_space_group_name_Hall '-I 2 2'
_cell_length_a 5.4796
_cell_length_b 9.3158
_cell_length_c 10.7318
_cell_angle_alpha 90.00
_cell_angle_beta 90.00
_cell_angle_gamma 90.00
loop_
_atom_site_label
_atom_site_type_symbol
_atom_site_fract_x
_atom_site_fract_y
_atom_site_fract_z
Zr1 Zr 0.0000 0.0000 0.0000
Zr2 Zr 0.0000 0.1847 0.5000
Zr3 Zr 0.0000 0.3288 0.2372
Tl1 Tl 0.0000 0.0000 0.2706
Tl2 Tl 0.0000 0.5000 0.0000
Pb1 Pb 0.0000 0.5000 0.5000

=====

No. 9
# PBE YMnMo2, relaxed
# * Fermi-level density of states: 1.33 states/eV per atom
# * calculated formation energy: 2.1 eV/f.u.
# * ΔE to the lowest computed polymorph: 0.2680 eV/atom
data_YMnMo2
_space_group_name_H-M_alt 'C 1 2/m 1'
_space_group_IT_number 12
_space_group_name_Hall '-C 2y'
_cell_length_a 5.4702
_cell_length_b 9.4903
_cell_length_c 2.8410
_cell_angle_alpha 90.00
_cell_angle_beta 109.60
_cell_angle_gamma 90.00
loop_
_atom_site_label
_atom_site_type_symbol
_atom_site_fract_x
_atom_site_fract_y
_atom_site_fract_z
Y1 Y 0.0000 0.0000 0.0000
Mn1 Mn 0.0000 0.5000 0.0000
Mo1 Mo 0.2500 0.2500 0.5000

=====

No. 10
# PBE Pr2Ho6Sc, relaxed
# * Fermi-level density of states: 1.61 states/eV per atom
# * calculated formation energy: 1.1 eV/f.u.
# * ΔE to the lowest computed polymorph: 0.0163 eV/atom
data_Pr2Ho6Sc
_space_group_name_H-M_alt 'I m m m'
_space_group_IT_number 71
_space_group_name_Hall '-I 2 2'
_cell_length_a 3.4794
_cell_length_b 10.2798
_cell_length_c 16.0478
_cell_angle_alpha 90.00
_cell_angle_beta 90.00
_cell_angle_gamma 90.00
loop_
_atom_site_label
_atom_site_type_symbol
_atom_site_fract_x
_atom_site_fract_y
_atom_site_fract_z
Pr1 Pr 0.0000 0.0000 0.1515
Ho1 Ho 0.0000 0.2959 0.5000
Ho2 Ho 0.0000 0.3367 0.1771
Sc1 Sc 0.0000 0.5000 0.0000

=====

No. 11
# PBE Sm3MgHg, relaxed
# * Fermi-level density of states: 1.23 states/eV per atom
# * calculated formation energy: -0.5 eV/f.u.
# * ΔE to the lowest computed polymorph: 0.0979 eV/atom
data_Sm3MgHg
_space_group_name_H-M_alt 'C 1 2/c 1'
_space_group_IT_number 15
_space_group_name_Hall '-C 2yc'
_cell_length_a 12.1449
_cell_length_b 6.5960
_cell_length_c 15.0791
_cell_angle_alpha 90.00
_cell_angle_beta 95.91
_cell_angle_gamma 90.00
loop_
_atom_site_label
_atom_site_type_symbol
_atom_site_fract_x
_atom_site_fract_y
_atom_site_fract_z
Sm1 Sm 0.0611 0.1126 0.1140
Sm2 Sm 0.1734 0.1877 0.7959
Sm3 Sm 0.1924 0.3297 0.3989
Mg1 Mg 0.0510 0.3807 0.5825
Hg1 Hg 0.0000 0.4450 0.2500
Hg2 Hg 0.2500 0.2500 0.0000

=====

No. 12
# PBE Rb2Ga2F, relaxed
# * Fermi-level density of states: 0.79 states/eV per atom
# * ΔE to the lowest computed polymorph: 0.1439 eV/atom
# * ΔE_f (raw): -355 meV/atom
data_Rb2Ga2F
_space_group_name_H-M_alt 'P 4/m b m'
_space_group_IT_number 127
_space_group_name_Hall '-P 4 2ab'
_cell_length_a 9.2345
_cell_length_b 9.2345
_cell_length_c 4.4688
_cell_angle_alpha 90.00
_cell_angle_beta 90.00
_cell_angle_gamma 90.00
loop_
_atom_site_label
_atom_site_type_symbol
_atom_site_fract_x
_atom_site_fract_y
_atom_site_fract_z
Rb1 Rb 0.2074 0.2926 0.0000
Ga1 Ga 0.0927 0.5927 0.5000
F1 F 0.0000 0.0000 0.5000

=====

Number 1: total magnetic moment 0.0 μB/f.u., final energy -2.3858 eV/atom. Number 2: total magnetic moment 0.0 μB/f.u., final energy -2.3315 eV/atom. Number 3: total magnetic moment 4.9 μB/f.u., final energy -5.9680 eV/atom. Number 4: total magnetic moment 0.6 μB/f.u., final energy -3.8052 eV/atom. Number 5: total magnetic moment 0.0 μB/f.u., final energy -4.7243 eV/atom. Number 6: total magnetic moment 0.1 μB/f.u., final energy -7.6923 eV/atom. Number 7: total magnetic moment 0.0 μB/f.u., final energy -4.6919 eV/atom. Number 8: total magnetic moment 3.9 μB/f.u., final energy -6.2249 eV/atom. Number 9: total magnetic moment 1.7 μB/f.u., final energy -8.8113 eV/atom. Number 10: total magnetic moment 0.0 μB/f.u., final energy -4.6996 eV/atom. Number 11: total magnetic moment 0.0 μB/f.u., final energy -3.3167 eV/atom. Number 12: total magnetic moment 1.0 μB/f.u., final energy -2.3275 eV/atom.